Version one
DFT (PBE) results for a geometry-optimized LiCaHS structure.

Values from the calculation:
**Magnetic moment**: 0.00 Bohr magnetons per cell

Lattice parameters (Å, degrees): 6.694 3.916 6.683 90.00 110.29 90.00
Space group Cm (No. 8)
Symmetry-distinct sites (fractional):
Li1 0.000 0.000 0.000 x2
Ca1 0.158 0.000 0.492 x2
H1 0.374 0.500 0.217 x2
S1 0.387 0.000 0.214 x2


Version two
DFT (PBE) results for a geometry-optimized LiCaHS structure.

Values from the calculation:
**Magnetic moment**: 0.00 Bohr magnetons per cell

Lattice parameters (Å, degrees): 3.605 3.697 6.053 90.00 90.00 90.00
Space group Pmm2 (No. 25)
Symmetry-distinct sites (fractional):
Li1 0.000 0.000 0.000 x1
Ca1 0.500 0.000 0.542 x1
H1 0.000 0.000 0.294 x1
S1 0.000 0.500 0.742 x1


It is version one that is the least stable of them.


Version one
DFT (PBE) results for a geometry-optimized LiCaHS structure.

Values from the calculation:
**Magnetic moment**: 0.00 Bohr magnetons per cell

Lattice parameters (Å, degrees): 3.8990 3.8990 15.2715 90.00 90.00 120.00
Space group R3m (No. 160, hexagonal axes)
Symmetry-distinct sites (fractional):
Li1 0.0000 0.0000 0.0000 x3
Ca1 0.0000 0.0000 0.8209 x3
H1 0.0000 0.0000 0.1149 x3
S1 0.0000 0.0000 0.6084 x3


Version two
DFT (PBE) results for a geometry-optimized LiCaHS structure.

Values from the calculation:
**Magnetic moment**: 0.00 Bohr magnetons per cell

Lattice parameters (Å, degrees): 4.617 4.557 4.804 90.00 117.54 90.00
Space group Pm (No. 6)
Symmetry-distinct sites (fractional):
Li1 0.000 0.000 0.000 x1
Ca1 0.270 0.500 0.527 x1
H1 0.230 0.000 0.443 x1
S1 0.937 0.500 0.874 x1


Version three
DFT (PBE) results for a geometry-optimized LiCaHS structure.

Values from the calculation:
**Magnetic moment**: 0.00 Bohr magnetons per cell

Lattice parameters (Å, degrees): 4.0273 4.0273 4.1340 90.00 90.00 120.00
Space group P-6m2 (No. 187)
Symmetry-distinct sites (fractional):
Li1 0.0000 0.0000 0.0000 x1
Ca1 0.3333 0.6667 0.5000 x1
H1 0.0000 0.0000 0.5000 x1
S1 0.6667 0.3333 0.0000 x1


It is version two that is the least stable of them.